Record 1
VASP calculation (PBE) on a geometry-optimized Li4Ho3USe8 structure.

a b c (Å): 8.1160 8.0219 8.1150
angles (deg): 120.41 120.00 90.00
Positions (direct):
Li1 0.5000 0.0000 0.0000
Li2 0.5000 0.0000 0.5000
Li3 0.0000 0.0000 0.0000
Li4 0.0000 0.0000 0.5000
Ho1 0.5000 0.5000 0.0000
Ho2 0.5000 0.5000 0.5000
Ho3 0.0000 0.5000 0.5000
U1 0.0000 0.5000 0.0000
Se1 0.2530 0.7549 0.0020
Se2 0.2530 0.7548 0.5060
Se3 0.2491 0.2475 0.4982
Se4 0.7490 0.7549 0.0020
Se5 0.2510 0.2451 0.9980
Se6 0.7509 0.7525 0.5018
Se7 0.7470 0.2452 0.4940
Se8 0.7470 0.2451 0.9980

- uncorrected formation energy (meV per atom) = -1551
- E (eV for the cell shown) = -85.37

***

Record 2
VASP calculation (PBE) on a geometry-optimized NaZn2P2O7 structure.

a b c (Å): 5.2954 5.2954 7.8475
angles (deg): 70.28 70.28 60.00
Positions (direct):
Na1 0.5000 0.5000 0.5000
Zn1 0.7286 0.7286 0.8143
Zn2 0.2714 0.2714 0.1857
P1 0.9262 0.9262 0.2214
P2 0.0738 0.0738 0.7786
O1 0.1737 0.9261 0.2817
O2 0.6185 0.1737 0.2817
O3 0.9261 0.6185 0.2817
O4 0.3815 0.0739 0.7183
O5 0.8263 0.3815 0.7183
O6 0.0000 0.0000 0.0000
O7 0.0739 0.8263 0.7183

- uncorrected formation energy (meV per atom) = -1816
- E (eV for the cell shown) = -71.19

***

> uncorrected formation energy of number 1 (Li4Ho3USe8)?

-1551 meV per atom

***

> Look up the uncorrected formation energy of the first one.

-1551 meV per atom

***

> Look up the uncorrected formation energy of the first one.

-1551 meV per atom

***

> What is the E in the first record?

-85.37 eV for the cell shown